# Ba2Cd5Pb3 PBE optimized geometry
# Energy above the lowest structure with this stoichiometry ... 0.0515 eV/atom
# Energy of formation ... -262 meV/atom
# DFT total energy ... -2.217 eV/atom
data_Ba2Cd5Pb3
_chemical_formula_sum 'Ba2 Cd5 Pb3'
_cell_length_a 5.064
_cell_length_b 5.064
_cell_length_c 12.500
_cell_angle_alpha 90.00
_cell_angle_beta 90.00
_cell_angle_gamma 90.00
_symmetry_space_group_name_H-M 'P -4 m 2'
_symmetry_Int_Tables_number 115
loop_
_symmetry_equiv_pos_as_xyz
'x,y,z'
'y,-x,-z'
'-x,-y,z'
'-y,x,-z'
'-x,y,z'
'-y,-x,-z'
'x,-y,z'
'y,x,-z'
loop_
_atom_site_label
_atom_site_fract_x
_atom_site_fract_y
_atom_site_fract_z
Ba1 0.000 0.500 0.243
Cd1 0.000 0.000 0.000
Cd2 0.000 0.000 0.500
Cd3 0.000 0.500 0.885
Cd4 0.500 0.500 0.000
Pb1 0.000 0.500 0.650
Pb2 0.500 0.500 0.500